(1)
Crystalline Pr2Ho2Hg7 at its relaxed geometry, computed with PBE.

For the density of states at the Fermi level, the calculation gives 0.664 states/eV per atom. As for the space group: Cmmm (65). Its electronic total energy is -2.05 eV/atom. The energy relative to the elements comes out at -154 meV per atom.

a = 6.813 Å, b = 7.845 Å, c = 6.813 Å
α = 90.00°, β = 114.98°, γ = 90.00°
Positions (direct):
Ho (0.265, 0.000, 0.735)
Ho (0.735, 0.000, 0.265)
Hg (0.500, 0.814, 0.500)
Hg (0.500, 0.309, 0.000)
Hg (0.000, 0.000, 0.000)
Hg (0.000, 0.309, 0.500)
Hg (0.500, 0.186, 0.500)
Hg (0.000, 0.691, 0.500)
Hg (0.500, 0.691, 0.000)
Pr (0.757, 0.500, 0.757)
Pr (0.243, 0.500, 0.243)

***

(2)
Crystalline HoSc3Bi4 at its relaxed geometry, computed with PBE.

For the density of states at the Fermi level, the calculation gives 0.201 states/eV per atom. As for the space group: Cmmm (65). Its electronic total energy is -5.59 eV/atom. The energy relative to the elements comes out at -698 meV per atom.

a = 4.316 Å, b = 7.481 Å, c = 7.481 Å
α = 70.55°, β = 90.00°, γ = 90.00°
Positions (direct):
Bi (0.500, 0.246, 0.745)
Bi (0.500, 0.755, 0.255)
Bi (0.000, 0.759, 0.741)
Bi (0.000, 0.241, 0.259)
Sc (0.000, 0.500, 0.500)
Sc (0.000, 0.000, 0.000)
Sc (0.500, 0.000, 0.500)
Ho (0.500, 0.500, 0.000)